Entry 1:
## As2HRuSe (PBE)

Data for an optimized crystal structure of As2HRuSe.

Calculated values
* distance to the lowest polymorph of the same formula: 0.0 kJ per mole of atoms

a = 3.9195 Å, b = 3.9195 Å, c = 4.8032 Å
α = 90.00°, β = 90.00°, γ = 90.00°
Closest atoms and distances in Å follow each position.
Space group P4/mmm (No. 123)
Symmetry-distinct sites (fractional):
As  0.0000  0.5000  0.0000 x2  2 H 1.96
H  0.0000  0.0000  0.0000 x1  4 As 1.96
Ru  0.5000  0.5000  0.5000 x1  4 Se 2.77, 8 As 3.10
Se  0.0000  0.0000  0.5000 x1  2 H 2.40

---

Entry 2:
## Pm4GaRh3 (PBE)

Data for an optimized crystal structure of Pm4GaRh3.

Calculated values
* formation energy: -0.699 eV per atom

a = 3.8853 Å, b = 4.4278 Å, c = 10.8966 Å
α = 90.00°, β = 90.00°, γ = 90.00°
Closest atoms and distances in Å follow each position.
Space group Pmm2 (No. 25)
Symmetry-distinct sites (fractional):
Pm  0.0000  0.0000  0.0000 x1  6 Rh 2.98-3.07, 1 Ga 3.30
Pm  0.0000  0.5000  0.2678 x1  7 Rh 2.99-3.23
Pm  0.5000  0.0000  0.4805 x1  5 Rh 2.86-3.08, 2 Ga 3.06
Pm  0.5000  0.5000  0.7753 x1  3 Rh 2.91-3.01, 4 Ga 3.07
Ga  0.0000  0.0000  0.6974 x1  2 Rh 2.65
Rh  0.0000  0.5000  0.5639 x1  2 Ga 2.65
Rh  0.5000  0.0000  0.2184 x1  7 Pm 2.86-3.07, 2 Rh 2.93
Rh  0.5000  0.5000  0.0420 x1  7 Pm 2.91-3.13, 2 Rh 2.93

---

Entry 3:
## Hf2Ta3Si4 (PBE)

Data for an optimized crystal structure of Hf2Ta3Si4.

Calculated values
* energy relative to the elements, uncorrected: -0.761 eV/atom

a = 6.8563 Å, b = 6.8495 Å, c = 6.6902 Å
α = 90.00°, β = 109.40°, γ = 90.00°
Closest atoms and distances in Å follow each position.
Space group P2_1/c (No. 14)
Symmetry-distinct sites (fractional):
Hf  0.1871  0.1696  0.0594 x4  7 Si 2.72-2.94
Ta  0.2505  0.6771  0.2457 x4  6 Si 2.55-2.67
Ta  0.5000  0.0000  0.5000 x2  6 Si 2.65-2.75, 2 Ta 2.96
Si  0.0766  0.5331  0.8551 x4  1 Si 2.53, 4 Ta 2.55-2.75, 2 Hf 2.72-2.82
Si  0.4879  0.1270  0.8697 x4  1 Si 2.43, 5 Ta 2.56-2.69

---

Entry 4:
## Al2CdSe (PBE)

Data for an optimized crystal structure of Al2CdSe.

Calculated values
* distance to the lowest polymorph of the same formula: 23.1 kJ per mole of atoms
* energy relative to the elements, uncorrected: 0.108 eV/atom

a = 6.0314 Å, b = 7.7042 Å, c = 3.5249 Å
α = 90.00°, β = 90.00°, γ = 90.00°
Closest atoms and distances in Å follow each position.
Space group Cmmm (No. 65)
Symmetry-distinct sites (fractional):
Al  0.2500  0.2500  0.0000 x4  4 Cd 3.01, 4 Se 3.01, 2 Al 3.02
Cd  0.0000  0.0000  0.5000 x2  8 Al 3.01, 2 Se 3.02
Se  0.0000  0.5000  0.5000 x2  8 Al 3.01, 2 Cd 3.02

---

no.,D(E_F) (states/eV per cell),total moment (μB per formula unit)
1,4.4,0.0
2,3.7,0.0
3,5.9,0.0
4,2.8,0.0